Computed, not measured: a relaxed CsLaP3 crystal at the PBEsol level of DFT.

Output
- ΔH_f (0 K) (eV/atom) = 0.99
- V (A^3/atom) = 27.7

Lattice parameters (Å, degrees): 5.171 5.171 5.171 90.00 90.00 90.00
Fractional coordinates of all 5 atoms:
Cs  0.000  0.000  0.000
La  0.500  0.500  0.500
P  0.000  0.000  0.500
P  0.000  0.500  0.000
P  0.500  0.000  0.000